# 1
A relaxed FeAs2Pb crystal. Source: Alexandria via LeMat-Bulk, functional GGA-PBE.

a = 3.5804 Å, b = 4.5603 Å, c = 4.9465 Å
α = 90.00°, β = 90.00°, γ = 90.00°
Space group Pmmm (No. 47)
Asymmetric unit:
Fe (0.0000, 0.0000, 0.0000) (multiplicity 1)
As (0.0000, 0.5000, 0.5000) (multiplicity 1)
As (0.5000, 0.0000, 0.5000) (multiplicity 1)
Pb (0.5000, 0.5000, 0.0000) (multiplicity 1)

Computed properties:
raw total energy = -0.1765 hartree per atom
formation energy from the elements = 2.25 eV per formula unit
mass density = 8.489 g/cm3
V = 80.8 Å³ per cell

=====

# 2
A relaxed FeAs2Pb crystal. Source: Alexandria via LeMat-Bulk, functional GGA-PBE.

a = 4.0615 Å, b = 4.0615 Å, c = 9.9544 Å
α = 90.00°, β = 90.00°, γ = 90.00°
Space group I4/mmm (No. 139)
Asymmetric unit:
Fe (0.0000, 0.0000, 0.0000) (multiplicity 2)
As (0.0000, 0.5000, 0.2500) (multiplicity 4)
Pb (0.0000, 0.0000, 0.5000) (multiplicity 2)

Computed properties:
raw total energy = -0.1765 hartree per atom
formation energy from the elements = 2.26 eV per formula unit
mass density = 8.351 g/cm3
V = 164.2 Å³ per cell

=====

# 3
A relaxed FeAs4Pb crystal. Source: Alexandria via LeMat-Bulk, functional GGA-PBE.

a = 7.9842 Å, b = 7.9842 Å, c = 7.9842 Å
α = 90.00°, β = 90.00°, γ = 90.00°
Space group F-43m (No. 216)
Asymmetric unit:
Fe (0.0000, 0.0000, 0.0000) (multiplicity 4)
As (0.1265, 0.1265, 0.3735) (multiplicity 16)
Pb (0.2500, 0.2500, 0.7500) (multiplicity 4)

Computed properties:
raw total energy = -0.1668 hartree per atom
formation energy from the elements = 3.54 eV per formula unit
mass density = 7.344 g/cm3
V = 509.0 Å³ per cell

=====

# 4
A relaxed Fe2As2Pb crystal. Source: Alexandria via LeMat-Bulk, functional GGA-PBE.

a = 3.9447 Å, b = 3.9447 Å, c = 11.8981 Å
α = 90.00°, β = 90.00°, γ = 90.00°
Space group I4/mmm (No. 139)
Asymmetric unit:
Fe (0.0000, 0.5000, 0.2500) (multiplicity 4)
As (0.0000, 0.0000, 0.1492) (multiplicity 4)
Pb (0.0000, 0.0000, 0.5000) (multiplicity 2)

Computed properties:
offset from the most stable computed form = 0 meV per atom
raw total energy = -0.2194 hartree per atom
formation energy from the elements = 0.09 eV per formula unit
mass density = 8.408 g/cm3
V = 185.1 Å³ per cell

=====

# 5
A relaxed FeAs2Pb crystal. Source: Alexandria via LeMat-Bulk, functional GGA-PBE.

a = 4.8170 Å, b = 4.8170 Å, c = 3.5729 Å
α = 90.00°, β = 90.00°, γ = 90.00°
Space group P4/mmm (No. 123)
Asymmetric unit:
Fe (0.0000, 0.0000, 0.0000) (multiplicity 1)
As (0.0000, 0.5000, 0.5000) (multiplicity 2)
Pb (0.5000, 0.5000, 0.0000) (multiplicity 1)

Computed properties:
raw total energy = -0.1754 hartree per atom
formation energy from the elements = 2.38 eV per formula unit
mass density = 8.270 g/cm3
V = 82.9 Å³ per cell

=====

# 6
A relaxed FeAs2Pb crystal. Source: Alexandria via LeMat-Bulk, functional GGA-PBE.

a = 3.0756 Å, b = 3.1303 Å, c = 16.9841 Å
α = 90.00°, β = 90.00°, γ = 90.00°
Space group Imm2 (No. 44)
Asymmetric unit:
Fe (0.0000, 0.0000, 0.0000) (multiplicity 2)
As (0.0000, 0.0000, 0.5660) (multiplicity 2)
As (0.0000, 0.5000, 0.3919) (multiplicity 2)
Pb (0.0000, 0.5000, 0.7350) (multiplicity 2)

Computed properties:
raw total energy = -0.1929 hartree per atom
formation energy from the elements = 0.48 eV per formula unit
mass density = 8.386 g/cm3
V = 163.5 Å³ per cell

=====

- Which value of mass density does entry 6 give?
  8.386 g/cm3